Computed, not measured: an optimized crystal structure of OsPt2Cl at the PBE-GGA level of DFT.

Computed properties:
- V: 16.45 Å³/atom
- E above lowest polymorph: 0 meV/atom
- Space group: Pmmm, No. 47
- Uncorrected formation energy: 6.90 kcal/mol of atoms
- Magnetization: 0.0 μB/cell

```
OsPt2Cl
1.0
-0.2450 -1.5464 -2.4332
-2.0362 -1.5738 1.2053
-5.5467 5.1066 -2.6870
Cl Os Pt
1 1 2
Cartesian
-2.0182 0.1100 -1.5870 Cl
-5.8097 1.8764 -2.3279 Os
-5.9193 4.5896 -2.3209 Pt
-3.4188 2.2834 -1.1070 Pt
```

***

Computed, not measured: an optimized crystal structure of Y2TlOs at the PBE-GGA level of DFT.

Computed properties:
- V: 23.12 Å³/atom
- E above lowest polymorph: 156 meV/atom
- Space group: Fm-3m, No. 225
- Magnetization: 0.0 μB/cell

```
Y2TlOs
1.0
0.7826 0.7418 4.9598
0.8060 4.6888 1.7686
-3.5465 2.2956 2.8134
Y Tl Os
2 1 1
Cartesian
-0.4895 1.9316 2.3855 Y
-1.4684 5.7947 7.1564 Y
-0.9789 3.8631 4.7709 Tl
0.0000 0.0000 0.0000 Os
```

***

Computed, not measured: an optimized crystal structure of YBeGa3 at the PBE-GGA level of DFT.

Computed properties:
- V: 18.63 Å³/atom
- E above lowest polymorph: 0 meV/atom
- Space group: Pm-3m, No. 221
- Magnetization: 0.0 μB/cell

```
YBeGa3
1.0
-3.2848 1.8188 -2.5404
-2.8078 -0.1016 3.5578
1.3704 4.1513 1.2001
Y Be Ga
1 1 3
Cartesian
-2.3611 2.9342 1.1088 Y
0.0000 0.0000 0.0000 Be
-1.4039 -0.0508 1.7789 Ga
0.6852 2.0757 0.6001 Ga
-1.6424 0.9094 -1.2702 Ga
```

***

Computed, not measured: an optimized crystal structure of La2GaP3Ir4 at the PBE-GGA level of DFT.

Computed properties:
- V: 17.53 Å³/atom
- Uncorrected energy: -7.388 eV per atom
- Space group: P-4m2, No. 115
- Magnetization: 0.0 μB/cell

```
La2GaP3Ir4
1.0
-1.5226 3.8843 -0.1588
-3.0133 -1.0715 2.6840
5.9174 2.6342 7.6950
La Ga P Ir
2 1 3 4
Cartesian
0.7386 2.6099 1.8712 La
2.9108 1.4307 7.0865 La
0.6908 2.7235 5.1101 Ga
2.9587 1.3171 3.8475 P
4.3597 4.2218 6.5800 P
-0.7102 -0.1812 2.3776 P
-2.2680 1.4064 1.2626 Ir
0.0000 0.0000 0.0000 Ir
2.9792 3.6072 4.7847 Ir
0.6703 0.4333 4.1729 Ir
```

***

Computed, not measured: an optimized crystal structure of SrIn3Au3 at the PBE-GGA level of DFT.

Computed properties:
- V: 25.30 Å³/atom
- E above lowest polymorph: 94 meV/atom
- Space group: P6_3/m, No. 176
- Magnetization: 0.0 μB/cell

```
SrIn3Au3
1.0
-1.9661 3.5673 2.2653
0.2007 -4.9399 7.9532
7.2562 5.4620 -2.3034
Sr In Au
2 6 6
Cartesian
3.4312 4.6707 2.8149 Sr
2.0595 -0.5813 5.1002 Sr
-1.0265 -0.9148 7.7416 In
0.2404 2.5963 3.3121 In
4.0215 1.9269 7.6479 In
6.5172 5.0042 0.1735 In
5.2504 1.4931 4.6031 In
1.4692 2.1624 0.2672 In
1.5563 0.1676 8.2788 Au
-0.9544 0.7721 5.1477 Au
2.6314 2.6689 5.2730 Au
3.9344 3.9218 -0.3637 Au
6.4451 3.3172 2.7674 Au
2.8593 1.4204 2.6422 Au
```

***

Computed, not measured: an optimized crystal structure of SrZnCu3Pt at the PBE-GGA level of DFT.

Computed properties:
- V: 18.25 Å³/atom
- Uncorrected energy: -3.649 eV per atom
- Space group: Cmcm, No. 63
- Magnetization: 0.0 μB/cell

```
SrZnCu3Pt
1.0
-2.9503 3.7950 2.8804
-5.0115 -3.5837 -0.4115
4.1081 -1.0703 5.6180
Sr Zn Cu Pt
2 2 6 2
Cartesian
-1.2952 1.2073 5.2594 Sr
-2.5586 -2.0664 2.8274 Sr
-1.8004 -3.4206 5.3882 Zn
-2.0533 2.5615 2.6986 Zn
-0.2708 0.1149 2.2968 Cu
-1.5144 -1.0830 -0.1244 Cu
-4.9723 -0.6033 1.1530 Cu
-2.9896 0.8145 1.3158 Cu
-3.4971 -2.5008 -0.2872 Cu
-3.5830 -0.9740 5.7900 Cu
0.3913 -1.0677 4.5332 Pt
-4.2451 0.2087 3.5537 Pt
```

***

Copy entry 3 word for word.
Computed, not measured: an optimized crystal structure of YBeGa3 at the PBE-GGA level of DFT.

Computed properties:
- V: 18.63 Å³/atom
- E above lowest polymorph: 0 meV/atom
- Space group: Pm-3m, No. 221
- Magnetization: 0.0 μB/cell

```
YBeGa3
1.0
-3.2848 1.8188 -2.5404
-2.8078 -0.1016 3.5578
1.3704 4.1513 1.2001
Y Be Ga
1 1 3
Cartesian
-2.3611 2.9342 1.1088 Y
0.0000 0.0000 0.0000 Be
-1.4039 -0.0508 1.7789 Ga
0.6852 2.0757 0.6001 Ga
-1.6424 0.9094 -1.2702 Ga
```